1.
ZrIn2Ag | PBE-GGA | optimized geometry

POSCAR file:
```
ZrIn2Ag
1.0
3.2333 0.0000 0.0000
0.0000 3.2333 0.0000
0.0000 0.0000 8.1642
Zr In Ag
1 2 1
direct
0.0000 0.0000 0.0000
0.5000 0.5000 0.2614
0.5000 0.5000 0.7386
0.0000 0.0000 0.5000
```

Values from the calculation:
- formation enthalpy at 0 K (eV per atom) = -0.144


2.
Zr2InAg | PBE-GGA | optimized geometry

POSCAR file:
```
Zr2InAg
1.0
4.2544 0.0000 0.0000
0.0000 4.2544 0.0000
0.0000 0.0000 9.4378
Zr In Ag
4 2 2
direct
0.0000 0.0000 0.0000
0.0000 0.5000 0.2500
0.5000 0.0000 0.7500
0.5000 0.5000 0.5000
0.0000 0.0000 0.5000
0.5000 0.5000 0.0000
0.0000 0.5000 0.7500
0.5000 0.0000 0.2500
```

Values from the calculation:
- formation enthalpy at 0 K (eV per atom) = -0.093


3.
ZrIn2Ag | PBE-GGA | optimized geometry

POSCAR file:
```
ZrIn2Ag
1.0
3.2095 0.0000 0.0000
-1.6048 2.7795 0.0000
0.0000 0.0000 29.4468
Zr In Ag
3 6 3
direct
0.0000 0.0000 0.0000
0.3333 0.6667 0.6667
0.6667 0.3333 0.3333
0.0000 0.0000 0.2469
0.0000 0.0000 0.7531
0.3333 0.6667 0.4197
0.3333 0.6667 0.9136
0.6667 0.3333 0.0864
0.6667 0.3333 0.5803
0.0000 0.0000 0.5000
0.3333 0.6667 0.1667
0.6667 0.3333 0.8333
```

Values from the calculation:
- formation enthalpy at 0 K (eV per atom) = -0.063